(1)
# Pr3Dy2ThTe6

A relaxed structure of Pr3Dy2ThTe6 (GGA-PBE, the Alexandria database).

a = 19.3829 Å, b = 4.4203 Å, c = 9.0137 Å
α = 90.00°, β = 102.19°, γ = 90.00°
Closest atoms and distances in Å follow each position.
Space group C2/m (No. 12)
One atom of each set of equivalent atoms:
Pr1 0.0000 0.0000 0.0000  6 Te 3.16-3.24
Pr2 0.1601 0.5000 0.3351  6 Te 3.15-3.25
Dy1 0.1654 0.5000 0.8322  6 Te 3.02-3.11
Th1 0.0000 0.0000 0.5000  6 Te 3.16-3.21
Te1 0.0059 0.5000 0.7527  1 Dy 3.02, 3 Pr 3.15-3.16, 2 Th 3.16
Te2 0.1694 0.0000 0.5966  2 Dy 3.08, 3 Pr 3.21-3.23, 1 Th 3.21
Te3 0.1709 0.0000 0.0774  3 Dy 3.11, 3 Pr 3.24-3.25

Computed properties:
Theoretical density   7.68 g/cm³
Raw formation energy   -15.751 eV/f.u.

=====

(2)
# Pr2Dy3ThTe6

A relaxed structure of Pr2Dy3ThTe6 (GGA-PBE, the Alexandria database).

a = 19.5563 Å, b = 4.3602 Å, c = 9.0175 Å
α = 90.00°, β = 106.06°, γ = 90.00°
Closest atoms and distances in Å follow each position.
Space group C2/m (No. 12)
One atom of each set of equivalent atoms:
Pr1 0.1626 0.0000 0.3239  6 Te 3.17-3.24
Dy1 0.0000 0.5000 0.5000  6 Te 3.07-3.10
Dy2 0.1678 0.0000 0.8322  6 Te 3.05-3.09
Th1 0.0000 0.5000 0.0000  6 Te 3.19-3.20
Te1 0.0055 0.0000 0.7435  3 Dy 3.05-3.07, 1 Pr 3.17, 2 Th 3.20
Te2 0.1651 0.5000 0.5886  3 Dy 3.09-3.10, 3 Pr 3.22-3.24
Te3 0.1693 0.5000 0.0708  3 Dy 3.06, 2 Pr 3.19, 1 Th 3.19

Computed properties:
Theoretical density   7.94 g/cm³
Raw formation energy   -15.405 eV/f.u.

=====

(3)
# Pr2DyTh3Te6

A relaxed structure of Pr2DyTh3Te6 (GGA-PBE, the Alexandria database).

a = 19.9072 Å, b = 4.3774 Å, c = 9.1352 Å
α = 90.00°, β = 108.05°, γ = 90.00°
Closest atoms and distances in Å follow each position.
Space group C2/m (No. 12)
One atom of each set of equivalent atoms:
Pr1 0.1666 0.0000 0.3349  6 Te 3.16-3.20
Dy1 0.0000 0.5000 0.0000  6 Te 3.06-3.11
Th1 0.0000 0.5000 0.5000  6 Te 3.17-3.22
Th2 0.1713 0.0000 0.8388  6 Te 3.17-3.21
Te1 0.0024 0.0000 0.7600  2 Dy 3.11, 1 Pr 3.20, 3 Th 3.21-3.22
Te2 0.1612 0.5000 0.0817  1 Dy 3.06, 2 Pr 3.16, 3 Th 3.17-3.19
Te3 0.1669 0.5000 0.5853  3 Pr 3.17, 3 Th 3.17

Computed properties:
Theoretical density   8.36 g/cm³
Raw formation energy   -14.189 eV/f.u.

=====

(4)
# PrDyTlTe

A relaxed structure of PrDyTlTe (GGA-PBE, the Alexandria database).

a = 4.2769 Å, b = 4.2769 Å, c = 23.8814 Å
α = 90.00°, β = 90.00°, γ = 120.00°
Closest atoms and distances in Å follow each position.
Space group R3m (No. 160, hexagonal axes)
One atom of each set of equivalent atoms:
Pr1 0.0000 0.0000 0.0000  3 Te 3.21, 3 Tl 3.24
Dy1 0.0000 0.0000 0.4972  3 Te 3.09, 3 Tl 3.14
Tl1 0.0000 0.0000 0.2453  3 Dy 3.14, 3 Pr 3.24
Te1 0.0000 0.0000 0.7526  3 Dy 3.09, 3 Pr 3.21

Computed properties:
Theoretical density   8.37 g/cm³
Raw formation energy   -3.375 eV/f.u.

=====

(5)
# Pr3DyTl3Te8

A relaxed structure of Pr3DyTl3Te8 (GGA-PBE, the Alexandria database).

a = 15.6889 Å, b = 9.0634 Å, c = 9.6831 Å
α = 90.00°, β = 122.67°, γ = 90.00°
Closest atoms and distances in Å follow each position.
Space group C2/m (No. 12)
One atom of each set of equivalent atoms:
Pr1 0.0000 0.0000 0.0000  6 Te 3.20
Pr2 0.2500 0.2500 0.0000  6 Te 3.20
Dy1 0.0000 0.5000 0.0000  6 Te 3.11
Tl1 0.0000 0.5000 0.5000  6 Te 3.44-3.45
Tl2 0.2500 0.2500 0.5000  6 Te 3.44-3.45
Te1 0.0081 0.2567 0.7809  1 Dy 3.11, 2 Pr 3.20, 2 Tl 3.45
Te2 0.2353 0.5000 0.2192  1 Dy 3.11, 2 Pr 3.20, 2 Tl 3.45
Te3 0.2419 0.0000 0.2257  3 Pr 3.20, 3 Tl 3.44

Computed properties:
Theoretical density   6.36 g/cm³
Raw formation energy   -15.915 eV/f.u.

=====

(6)
# Pr2Dy3TmTe6

A relaxed structure of Pr2Dy3TmTe6 (GGA-PBE, the Alexandria database).

a = 19.2447 Å, b = 4.3622 Å, c = 8.8728 Å
α = 90.00°, β = 102.75°, γ = 90.00°
Closest atoms and distances in Å follow each position.
Space group C2/m (No. 12)
One atom of each set of equivalent atoms:
Pr1 0.1720 0.0000 0.3371  6 Te 3.15-3.31
Dy1 0.0000 0.5000 0.5000  6 Te 3.01-3.14
Dy2 0.1758 0.0000 0.8358  6 Te 3.05-3.21
Tm1 0.0000 0.5000 0.0000  6 Te 3.02-3.09
Te1 0.0046 0.0000 0.7561  2 Tm 3.09, 3 Dy 3.14-3.21, 1 Pr 3.31
Te2 0.1604 0.5000 0.5903  3 Dy 3.01-3.05, 3 Pr 3.15-3.17
Te3 0.1608 0.5000 0.0702  1 Tm 3.02, 3 Dy 3.07, 2 Pr 3.19

Computed properties:
Theoretical density   7.79 g/cm³
Raw formation energy   -15.801 eV/f.u.

=====

(7)
# Pr3Dy3TmTe8

A relaxed structure of Pr3Dy3TmTe8 (GGA-PBE, the Alexandria database).

a = 8.8052 Å, b = 8.8052 Å, c = 21.8609 Å
α = 90.00°, β = 90.00°, γ = 120.00°
Closest atoms and distances in Å follow each position.
Space group R-3m (No. 166, hexagonal axes)
One atom of each set of equivalent atoms:
Pr1 0.0000 0.5000 0.0000  6 Te 3.19
Dy1 0.0000 0.5000 0.5000  6 Te 3.07
Tm1 0.0000 0.0000 0.5000  6 Te 3.12
Te1 0.0000 0.0000 0.2454  3 Dy 3.07, 3 Pr 3.19
Te2 0.0050 0.5025 0.7534  2 Dy 3.07, 1 Tm 3.12, 2 Pr 3.19

Computed properties:
Theoretical density   7.13 g/cm³
Raw formation energy   -21.014 eV/f.u.

=====

(8)
# Pr2DyTmTe6

A relaxed structure of Pr2DyTmTe6 (GGA-PBE, the Alexandria database).

a = 7.8568 Å, b = 7.8568 Å, c = 21.1454 Å
α = 90.00°, β = 90.00°, γ = 120.00°
Closest atoms and distances in Å follow each position.
Space group R3 (No. 146, hexagonal axes)
One atom of each set of equivalent atoms:
Pr1 0.0000 0.0000 0.0000  6 Te 3.18-3.24
Pr2 0.0000 0.0000 0.4998  6 Te 3.17-3.24
Dy1 0.0000 0.0000 0.6913  6 Te 3.07-3.10
Tm1 0.0000 0.0000 0.1913  6 Te 3.04-3.07
Te1 0.0361 0.6914 0.2674  1 Tm 3.04, 1 Dy 3.10, 2 Pr 3.18-3.24
Te2 0.0385 0.3479 0.7685  1 Dy 3.07, 1 Tm 3.07, 2 Pr 3.17-3.24

Computed properties:
Theoretical density   6.08 g/cm³
Raw formation energy   -13.631 eV/f.u.

=====

(9)
# Pr3DyTm2Te6

A relaxed structure of Pr3DyTm2Te6 (GGA-PBE, the Alexandria database).

a = 19.5181 Å, b = 4.3436 Å, c = 9.0294 Å
α = 90.00°, β = 106.03°, γ = 90.00°
Closest atoms and distances in Å follow each position.
Space group C2/m (No. 12)
One atom of each set of equivalent atoms:
Pr1 0.0000 0.0000 0.0000  6 Te 3.20-3.23
Pr2 0.1645 0.5000 0.3317  6 Te 3.19-3.23
Dy1 0.0000 0.0000 0.5000  6 Te 3.07-3.09
Tm1 0.1657 0.5000 0.8310  6 Te 3.01-3.05
Te1 0.0051 0.5000 0.7427  1 Tm 3.01, 2 Dy 3.07, 3 Pr 3.19-3.20
Te2 0.1645 0.0000 0.5946  2 Tm 3.04, 1 Dy 3.09, 3 Pr 3.22
Te3 0.1715 0.0000 0.0715  3 Tm 3.05, 3 Pr 3.23

Computed properties:
Theoretical density   7.62 g/cm³
Raw formation energy   -16.003 eV/f.u.

=====

(10)
# Pr2DyTmTe5

A relaxed structure of Pr2DyTmTe5 (GGA-PBE, the Alexandria database).

a = 5.4866 Å, b = 5.4866 Å, c = 11.5318 Å
α = 90.00°, β = 90.00°, γ = 90.00°
Closest atoms and distances in Å follow each position.
Space group P4/mmm (No. 123)
One atom of each set of equivalent atoms:
Pr1 0.0000 0.0000 0.1690  4 Te 3.37
Dy1 0.5000 0.5000 0.5000  2 Te 2.84
Tm1 0.5000 0.5000 0.0000  6 Te 2.74-2.92
Te1 0.0000 0.0000 0.5000  2 Pr 3.82, 4 Dy 3.88
Te2 0.0000 0.5000 0.0000  2 Tm 2.74
Te3 0.5000 0.5000 0.2536  1 Dy 2.84, 1 Tm 2.92

Computed properties:
Theoretical density   5.99 g/cm³
Raw formation energy   -7.586 eV/f.u.

=====

(11)
# Pr3Dy2TmTe6

A relaxed structure of Pr3Dy2TmTe6 (GGA-PBE, the Alexandria database).

a = 19.5074 Å, b = 4.3663 Å, c = 9.0145 Å
α = 90.00°, β = 105.49°, γ = 90.00°
Closest atoms and distances in Å follow each position.
Space group C2/m (No. 12)
One atom of each set of equivalent atoms:
Pr1 0.0000 0.0000 0.0000  6 Te 3.19-3.23
Pr2 0.1685 0.5000 0.3338  6 Te 3.20-3.23
Dy1 0.1680 0.5000 0.8352  6 Te 3.06-3.10
Tm1 0.0000 0.0000 0.5000  6 Te 3.03-3.05
Te1 0.0029 0.5000 0.7381  2 Tm 3.05, 1 Dy 3.10, 3 Pr 3.23
Te2 0.1613 0.0000 0.5907  1 Tm 3.03, 2 Dy 3.08, 3 Pr 3.21
Te3 0.1693 0.0000 0.0749  3 Dy 3.06-3.07, 3 Pr 3.19-3.20

Computed properties:
Theoretical density   7.55 g/cm³
Raw formation energy   -16.193 eV/f.u.

=====

(12)
# Pr3Dy3YTe8

A relaxed structure of Pr3Dy3YTe8 (GGA-PBE, the Alexandria database).

a = 8.8187 Å, b = 8.8187 Å, c = 21.8307 Å
α = 90.00°, β = 90.00°, γ = 120.00°
Closest atoms and distances in Å follow each position.
Space group R-3m (No. 166, hexagonal axes)
One atom of each set of equivalent atoms:
Pr1 0.0000 0.5000 0.0000  6 Te 3.19
Dy1 0.0000 0.5000 0.5000  6 Te 3.07
Y1 0.0000 0.0000 0.5000  6 Te 3.15
Te1 0.0000 0.0000 0.2454  3 Dy 3.07, 3 Pr 3.19
Te2 0.0089 0.5044 0.7524  2 Dy 3.07, 1 Y 3.15, 2 Pr 3.19

Computed properties:
Theoretical density   6.84 g/cm³
Raw formation energy   -21.255 eV/f.u.